The following is a GGA-PBE calculation of KLiNbF6 after structural relaxation, from the Alexandria database.

Properties
ΔE_f (raw) = -26.69 eV/f.u.

Lattice parameters (Å, degrees): 5.5214 5.5214 11.2345 90.00 90.00 120.00
Space group P-31c (No. 163)
Symmetry-distinct sites (fractional):
K  0.0000  0.0000  0.0000 (multiplicity 2)
Li  0.3333  0.6667  0.2500 (multiplicity 2)
Nb  0.3333  0.6667  0.7500 (multiplicity 2)
F  0.0069  0.3775  0.6543 (multiplicity 12)

---

The following is a GGA-PBE calculation of BaNa2BiF after structural relaxation, from the Alexandria database.

Properties
ΔE_f (raw) = -7.35 eV/f.u.

Lattice parameters (Å, degrees): 5.087 5.087 5.399 90.00 90.00 90.00
Space group P4/mmm (No. 123)
Symmetry-distinct sites (fractional):
Ba  0.000  0.000  0.000 (multiplicity 1)
Na  0.000  0.500  0.500 (multiplicity 2)
Bi  0.500  0.500  0.000 (multiplicity 1)
F  0.000  0.000  0.500 (multiplicity 1)

---

The following is a GGA-PBE calculation of HfRePOs after structural relaxation, from the Alexandria database.

Properties
ΔH_f (0 K) = -0.182 eV per atom
E above lowest polymorph = 0.183 eV/atom

Lattice parameters (Å, degrees): 3.003 4.607 5.160 69.46 73.85 82.80
Space group P1 (No. 1)
Symmetry-distinct sites (fractional):
Hf  0.000  0.000  0.000 (multiplicity 1)
Re  0.224  0.617  0.556 (multiplicity 1)
P  0.871  0.244  0.451 (multiplicity 1)
Os  0.498  0.498  0.033 (multiplicity 1)

---

The following is a GGA-PBE calculation of FeIr6Rh4 after structural relaxation, from the Alexandria database.

Properties
ΔH_f (0 K) = 0.163 eV per atom

Lattice parameters (Å, degrees): 3.807 8.607 19.776 90.00 90.00 90.00
Space group Cmcm (No. 63)
Symmetry-distinct sites (fractional):
Fe  0.000  0.027  0.250 (multiplicity 4)
Ir  0.000  0.097  0.090 (multiplicity 8)
Ir  0.000  0.314  0.680 (multiplicity 8)
Ir  0.000  0.322  0.250 (multiplicity 4)
Ir  0.000  0.500  0.000 (multiplicity 4)
Rh  0.000  0.202  0.543 (multiplicity 8)
Rh  0.000  0.400  0.129 (multiplicity 8)

---

The following is a GGA-PBE calculation of Pm4SmTl after structural relaxation, from the Alexandria database.

Properties
ΔH_f (0 K) = -0.054 eV per atom
E above lowest polymorph = 0.050 eV/atom

Lattice parameters (Å, degrees): 6.609 6.822 8.894 90.00 100.80 90.00
Space group P2_1/m (No. 11)
Symmetry-distinct sites (fractional):
Pm  0.079  0.250  0.333 (multiplicity 2)
Pm  0.178  0.250  0.939 (multiplicity 2)
Pm  0.419  0.503  0.676 (multiplicity 4)
Sm  0.306  0.750  0.006 (multiplicity 2)
Tl  0.150  0.750  0.369 (multiplicity 2)

---

The following is a GGA-PBE calculation of Ru2PtCl after structural relaxation, from the Alexandria database.

Properties
E above lowest polymorph = 0.311 eV/atom
ΔE_f (raw) = 2.39 eV/f.u.

Lattice parameters (Å, degrees): 9.459 2.785 4.838 90.00 101.89 90.00
Space group Cm (No. 8)
Symmetry-distinct sites (fractional):
Ru  0.000  0.000  0.000 (multiplicity 2)
Ru  0.233  0.500  0.207 (multiplicity 2)
Pt  0.230  0.000  0.722 (multiplicity 2)
Cl  0.447  0.000  0.376 (multiplicity 2)

---

The following is a GGA-PBE calculation of SrAl11Fe after structural relaxation, from the Alexandria database.

Properties
ΔH_f (0 K) = -0.137 eV per atom

Lattice parameters (Å, degrees): 5.194 12.714 7.242 90.00 109.27 90.00
Space group C2/m (No. 12)
Symmetry-distinct sites (fractional):
Sr  0.000  0.000  0.000 (multiplicity 2)
Al  0.000  0.000  0.500 (multiplicity 2)
Al  0.110  0.391  0.238 (multiplicity 8)
Al  0.194  0.172  0.364 (multiplicity 8)
Al  0.250  0.250  0.000 (multiplicity 4)
Fe  0.000  0.500  0.500 (multiplicity 2)

---

The following is a GGA-PBE calculation of Ac10Nd4Dy after structural relaxation, from the Alexandria database.

Properties
ΔH_f (0 K) = 0.583 eV per atom

Lattice parameters (Å, degrees): 13.153 13.153 8.306 90.00 90.00 90.00
Space group I4/m (No. 87)
Symmetry-distinct sites (fractional):
Ac  0.000  0.500  0.250 (multiplicity 4)
Ac  0.101  0.197  0.249 (multiplicity 16)
Nd  0.099  0.699  0.500 (multiplicity 8)
Dy  0.000  0.000  0.000 (multiplicity 2)

---

The following is a GGA-PBE calculation of V3FeI after structural relaxation, from the Alexandria database.

Properties
E above lowest polymorph = 0.000 eV/atom
ΔE_f (raw) = 4.33 eV/f.u.

Lattice parameters (Å, degrees): 4.456 4.456 4.456 90.00 90.00 90.00
Space group Pm-3m (No. 221)
Symmetry-distinct sites (fractional):
V  0.000  0.000  0.500 (multiplicity 3)
Fe  0.000  0.000  0.000 (multiplicity 1)
I  0.500  0.500  0.500 (multiplicity 1)

---

The following is a GGA-PBE calculation of Ac3Pm4Hg after structural relaxation, from the Alexandria database.

Properties
ΔH_f (0 K) = -0.096 eV per atom

Lattice parameters (Å, degrees): 3.832 3.832 19.659 90.00 90.00 90.00
Space group P4/mmm (No. 123)
Symmetry-distinct sites (fractional):
Ac  0.000  0.000  0.000 (multiplicity 1)
Ac  0.000  0.000  0.270 (multiplicity 2)
Pm  0.500  0.500  0.135 (multiplicity 2)
Pm  0.500  0.500  0.403 (multiplicity 2)
Hg  0.000  0.000  0.500 (multiplicity 1)

---

The following is a GGA-PBE calculation of Tb2NdZn2Si2 after structural relaxation, from the Alexandria database.

Properties
ΔE_f (raw) = -3.23 eV/f.u.

Lattice parameters (Å, degrees): 4.0989 4.0989 33.9424 90.00 90.00 120.00
Space group R-3m (No. 166, hexagonal axes)
Symmetry-distinct sites (fractional):
Tb  0.0000  0.0000  0.1226 (multiplicity 6)
Nd  0.0000  0.0000  0.0000 (multiplicity 3)
Zn  0.0000  0.0000  0.3960 (multiplicity 6)
Si  0.0000  0.0000  0.2686 (multiplicity 6)

---

The following is a GGA-PBE calculation of AlCu2HPt after structural relaxation, from the Alexandria database.

Properties
E above lowest polymorph = 0.000 eV/atom

Lattice parameters (Å, degrees): 3.677 3.677 4.163 90.00 90.00 90.00
Space group P4/mmm (No. 123)
Symmetry-distinct sites (fractional):
Al  0.000  0.000  0.000 (multiplicity 1)
Cu  0.000  0.500  0.500 (multiplicity 2)
H  0.000  0.000  0.500 (multiplicity 1)
Pt  0.500  0.500  0.000 (multiplicity 1)

---

The following is a GGA-PBE calculation of MnReNi2 after structural relaxation, from the Alexandria database.

Properties
ΔH_f (0 K) = 0.353 eV per atom
E above lowest polymorph = 0.348 eV/atom

Lattice parameters (Å, degrees): 5.770 5.770 5.770 90.00 90.00 90.00
Space group Fm-3m (No. 225)
Symmetry-distinct sites (fractional):
Mn  0.000  0.000  0.000 (multiplicity 4)
Re  0.000  0.000  0.500 (multiplicity 4)
Ni  0.250  0.250  0.250 (multiplicity 8)

---

The following is a GGA-PBE calculation of Na2SiN2 after structural relaxation, from the Alexandria database.

Properties
ΔE_f (raw) = -3.10 eV/f.u.

Lattice parameters (Å, degrees): 5.550 9.491 4.869 90.00 90.00 90.00
Space group Ibam (No. 72)
Symmetry-distinct sites (fractional):
Na  0.115  0.157  0.000 (multiplicity 8)
Si  0.000  0.500  0.250 (multiplicity 4)
N  0.174  0.408  0.000 (multiplicity 8)

---

The following is a GGA-PBE calculation of CaTaOs2 after structural relaxation, from the Alexandria database.

Properties
ΔH_f (0 K) = 0.290 eV per atom
E above lowest polymorph = 0.275 eV/atom

Lattice parameters (Å, degrees): 2.917 4.769 10.487 90.00 90.00 90.00
Space group Imm2 (No. 44)
Symmetry-distinct sites (fractional):
Ca  0.000  0.000  0.000 (multiplicity 2)
Ta  0.000  0.500  0.208 (multiplicity 2)
Os  0.000  0.000  0.482 (multiplicity 2)
Os  0.000  0.500  0.779 (multiplicity 2)

---

The following is a GGA-PBE calculation of Ca8Rh3Au2 after structural relaxation, from the Alexandria database.

Properties
ΔH_f (0 K) = -0.467 eV per atom

Lattice parameters (Å, degrees): 8.683 4.959 8.695 90.00 110.47 90.00
Space group P2/m (No. 10)
Symmetry-distinct sites (fractional):
Ca  0.117  0.000  0.383 (multiplicity 2)
Ca  0.136  0.500  0.870 (multiplicity 2)
Ca  0.370  0.500  0.636 (multiplicity 2)
Ca  0.382  0.000  0.117 (multiplicity 2)
Rh  0.253  0.000  0.753 (multiplicity 2)
Rh  0.500  0.500  0.000 (multiplicity 1)
Au  0.249  0.500  0.251 (multiplicity 2)

---

The following is a GGA-PBE calculation of RbNa2GaS after structural relaxation, from the Alexandria database.

Properties
ΔE_f (raw) = -0.60 eV/f.u.

Lattice parameters (Å, degrees): 5.680 5.680 5.224 90.00 90.00 90.00
Space group P4/mmm (No. 123)
Symmetry-distinct sites (fractional):
Rb  0.000  0.000  0.000 (multiplicity 1)
Na  0.000  0.500  0.500 (multiplicity 2)
Ga  0.500  0.500  0.500 (multiplicity 1)
S  0.500  0.500  0.000 (multiplicity 1)

---

The following is a GGA-PBE calculation of LuPaOsAu after structural relaxation, from the Alexandria database.

Properties
ΔH_f (0 K) = -0.352 eV per atom

Lattice parameters (Å, degrees): 6.979 6.979 6.979 90.00 90.00 90.00
Space group F-43m (No. 216)
Symmetry-distinct sites (fractional):
Lu  0.000  0.000  0.000 (multiplicity 4)
Pa  0.000  0.000  0.500 (multiplicity 4)
Os  0.250  0.250  0.750 (multiplicity 4)
Au  0.250  0.250  0.250 (multiplicity 4)

---

| no. | Fermi-level density of states (states/eV per atom) |
| --- | --- |
| 1 | 0.34 |
| 2 | 0.06 |
| 3 | 0.60 |
| 4 | 1.20 |
| 5 | 1.18 |
| 6 | 0.84 |
| 7 | 0.54 |
| 8 | 1.59 |
| 9 | 1.19 |
| 10 | 1.39 |
| 11 | 1.09 |
| 12 | 0.18 |
| 13 | 1.96 |
| 14 | 0.00 |
| 15 | 0.64 |
| 16 | 0.39 |
| 17 | 0.32 |
| 18 | 1.30 |